Compound: MnVRePt
Source: the Alexandria database
Functional: GGA-PBE
Structure: relaxed

a = 4.3177 Å, b = 4.3177 Å, c = 4.3177 Å
α = 60.00°, β = 60.00°, γ = 60.00°
Closest atoms and distances in Å follow each position.
Fractional positions:
Mn: 0.5000 0.5000 0.5000  4 Re 2.64, 4 Pt 2.64
Pt: 0.7500 0.7500 0.7500  4 Mn 2.64, 4 V 2.64
V: 0.0000 0.0000 0.0000  4 Re 2.64, 4 Pt 2.64
Re: 0.2500 0.2500 0.2500  4 Mn 2.64, 4 V 2.64

Summary:
* volume: 14.23 Å³ per atom
* energy relative to the elements: -0.151 eV per atom



Compound: MnPtRh2
Source: the Alexandria database
Functional: GGA-PBE
Structure: relaxed

a = 4.3744 Å, b = 4.3744 Å, c = 4.3738 Å
α = 60.00°, β = 60.00°, γ = 60.00°
Closest atoms and distances in Å follow each position.
Fractional positions:
Pt: 0.7500 0.7500 0.7501  4 Mn 2.68, 4 Rh 2.68
Mn: 0.5000 0.5000 0.5000  4 Rh 2.68, 4 Pt 2.68
Rh: 0.0000 0.0000 0.0000  4 Pt 2.68, 4 Rh 2.68
Rh: 0.2500 0.2500 0.2499  4 Mn 2.68, 4 Rh 2.68

Summary:
* volume: 14.79 Å³ per atom
* energy relative to the elements: 0.034 eV per atom



Compound: MnPtRh2
Source: the Alexandria database
Functional: GGA-PBE
Structure: relaxed

a = 6.8853 Å, b = 6.8853 Å, c = 5.5179 Å
α = 51.40°, β = 51.40°, γ = 90.00°
Closest atoms and distances in Å follow each position.
Fractional positions:
Rh: 0.8750 0.8371 0.7500  2 Mn 2.35
Rh: 0.5871 0.1250 0.2500  2 Mn 2.35
Rh: 0.3750 0.4129 0.7500  2 Mn 2.35
Rh: 0.1629 0.6250 0.2500  2 Mn 2.35
Mn: 0.2500 0.7500 0.5000  4 Rh 2.35, 2 Pt 2.60
Mn: 0.5000 0.5000 0.0000  4 Rh 2.35, 2 Pt 2.60
Pt: 0.7500 0.2500 0.5000  2 Mn 2.60, 4 Rh 2.70
Pt: 0.0000 0.0000 0.0000  2 Mn 2.60, 4 Rh 2.70

Summary:
* volume: 15.39 Å³ per atom
* energy relative to the elements: 0.289 eV per atom



Compound: MnPtRh2
Source: the Alexandria database
Functional: GGA-PBE
Structure: relaxed

a = 2.7780 Å, b = 4.6877 Å, c = 5.4765 Å
α = 54.21°, β = 90.00°, γ = 90.00°
Closest atoms and distances in Å follow each position.
Fractional positions:
Mn: 0.5000 0.5000 0.5000  6 Rh 2.72-2.74, 4 Pt 2.72, 2 Mn 2.78
Rh: 0.5000 0.5000 0.0000  4 Pt 2.72, 6 Rh 2.72-2.78, 2 Mn 2.74
Rh: 0.0000 0.0000 0.0000  4 Mn 2.72, 6 Rh 2.72-2.78, 2 Pt 2.74
Pt: 0.0000 0.0000 0.5000  6 Rh 2.72-2.74, 4 Mn 2.72, 2 Pt 2.78

Summary:
* volume: 14.46 Å³ per atom
* energy relative to the elements: -0.155 eV per atom



Compound: Mn2Pt2Rh
Source: the Alexandria database
Functional: GGA-PBE
Structure: relaxed

a = 4.8434 Å, b = 4.6920 Å, c = 3.8635 Å
α = 65.75°, β = 66.48°, γ = 83.50°
Closest atoms and distances in Å follow each position.
Fractional positions:
Mn: 0.7936 0.1169 0.7946  3 Rh 2.66-2.85, 6 Pt 2.69-2.78, 3 Mn 2.74-2.89
Mn: 0.2064 0.8831 0.2054  3 Rh 2.66-2.85, 6 Pt 2.69-2.78, 3 Mn 2.74-2.89
Pt: 0.6140 0.7094 0.5883  6 Mn 2.69-2.78, 3 Pt 2.74-2.78, 3 Rh 2.77-2.82
Pt: 0.3860 0.2906 0.4118  6 Mn 2.69-2.78, 3 Pt 2.74-2.78, 3 Rh 2.77-2.82
Rh: 0.0000 0.5000 0.0000  6 Mn 2.66-2.85, 6 Pt 2.77-2.82

Summary:
* volume: 14.65 Å³ per atom
* polymorph energy (0 for the lowest one): 0 meV/atom
* energy relative to the elements: -0.231 eV per atom



Compound: MnPt4Rh
Source: the Alexandria database
Functional: GGA-PBE
Structure: relaxed

a = 5.2215 Å, b = 5.2215 Å, c = 5.2215 Å
α = 60.00°, β = 60.00°, γ = 60.00°
Closest atoms and distances in Å follow each position.
Fractional positions:
Rh: 0.7500 0.7500 0.7500  12 Pt 3.06, 4 Mn 3.20
Pt: 0.3751 0.3751 0.3751  6 Pt 2.61
Pt: 0.8747 0.3751 0.3751  6 Pt 2.61
Pt: 0.3751 0.3751 0.8747  6 Pt 2.61
Pt: 0.3751 0.8747 0.3751  6 Pt 2.61
Mn: 0.0000 0.0000 0.0000  12 Pt 3.06, 4 Rh 3.20

Summary:
* volume: 16.78 Å³ per atom
* polymorph energy (0 for the lowest one): 60 meV/atom
* energy relative to the elements: 0.115 eV per atom



Compound: Mn2Pt5Rh
Source: the Alexandria database
Functional: GGA-PBE
Structure: relaxed

a = 3.8699 Å, b = 5.5568 Å, c = 11.1243 Å
α = 90.00°, β = 90.00°, γ = 90.00°
Closest atoms and distances in Å follow each position.
Fractional positions:
Mn: 0.5000 0.2471 0.8759  2 Rh 2.75, 10 Pt 2.75-2.81
Mn: 0.5000 0.2529 0.3759  2 Rh 2.75, 10 Pt 2.75-2.81
Mn: 0.5000 0.7529 0.1241  2 Rh 2.75, 10 Pt 2.75-2.81
Mn: 0.5000 0.7471 0.6241  2 Rh 2.75, 10 Pt 2.75-2.81
Rh: 0.0000 0.0000 0.0000  4 Mn 2.75, 8 Pt 2.75-2.78
Rh: 0.0000 0.5000 0.5000  4 Mn 2.75, 8 Pt 2.75-2.78
Pt: 0.0000 0.9987 0.7513  4 Mn 2.75-2.77, 7 Pt 2.76-2.80, 1 Rh 2.77
Pt: 0.0000 0.4987 0.7487  4 Mn 2.75-2.77, 7 Pt 2.76-2.80, 1 Rh 2.77
Pt: 0.5000 0.7507 0.8769  2 Rh 2.75, 6 Pt 2.75-2.78, 4 Mn 2.75-2.81
Pt: 0.5000 0.2507 0.6231  2 Rh 2.75, 6 Pt 2.75-2.78, 4 Mn 2.75-2.81
Pt: 0.0000 0.0013 0.2487  4 Mn 2.75-2.77, 7 Pt 2.76-2.80, 1 Rh 2.77
Pt: 0.0000 0.5000 0.0000  6 Pt 2.75-2.80, 4 Mn 2.76, 2 Rh 2.78
Pt: 0.5000 0.2493 0.1231  2 Rh 2.75, 6 Pt 2.75-2.78, 4 Mn 2.75-2.81
Pt: 0.5000 0.7493 0.3769  2 Rh 2.75, 6 Pt 2.75-2.78, 4 Mn 2.75-2.81
Pt: 0.0000 0.5013 0.2513  4 Mn 2.75-2.77, 7 Pt 2.76-2.80, 1 Rh 2.77
Pt: 0.0000 0.0000 0.5000  6 Pt 2.75-2.80, 4 Mn 2.76, 2 Rh 2.78

Summary:
* volume: 14.95 Å³ per atom
* energy relative to the elements: -0.327 eV per atom



Compound: MnPtRh2
Source: the Alexandria database
Functional: GGA-PBE
Structure: relaxed

a = 4.3112 Å, b = 4.3112 Å, c = 4.3112 Å
α = 60.00°, β = 60.00°, γ = 60.00°
Closest atoms and distances in Å follow each position.
Fractional positions:
Rh: 0.2500 0.2500 0.2500  4 Pt 2.64, 4 Mn 2.64
Rh: 0.7500 0.7500 0.7500  4 Pt 2.64, 4 Mn 2.64
Pt: 0.5000 0.5000 0.5000  8 Rh 2.64
Mn: 0.0000 0.0000 0.0000  8 Rh 2.64

Summary:
* volume: 14.17 Å³ per atom
* energy relative to the elements: 0.330 eV per atom



Compound: MnPt14Rh
Source: the Alexandria database
Functional: GGA-PBE
Structure: relaxed

a = 5.5676 Å, b = 5.5676 Å, c = 9.2498 Å
α = 90.00°, β = 90.00°, γ = 119.97°
Closest atoms and distances in Å follow each position.
Fractional positions:
Pt: 0.2077 0.2918 0.0000  12 Pt 2.78-2.86
Pt: 0.3758 0.6242 0.2522  11 Pt 2.77-2.84, 1 Rh 2.79
Pt: 0.8762 0.1238 0.7454  11 Pt 2.77-2.86, 1 Mn 2.78
Pt: 0.0433 0.4582 0.5000  2 Rh 2.77-2.80, 8 Pt 2.78-2.80, 2 Mn 2.78-2.79
Pt: 0.3735 0.1251 0.7436  1 Mn 2.76, 10 Pt 2.77-2.87, 1 Rh 2.77
Pt: 0.3735 0.1251 0.2564  1 Mn 2.76, 10 Pt 2.77-2.87, 1 Rh 2.77
Pt: 0.8749 0.6265 0.2564  1 Mn 2.76, 10 Pt 2.77-2.87, 1 Rh 2.77
Pt: 0.2077 0.7923 0.0000  12 Pt 2.78-2.86
Pt: 0.3758 0.6242 0.7478  11 Pt 2.77-2.84, 1 Rh 2.79
Pt: 0.8762 0.1238 0.2546  11 Pt 2.77-2.86, 1 Mn 2.78
Pt: 0.5418 0.9567 0.5000  2 Rh 2.77-2.80, 8 Pt 2.78-2.80, 2 Mn 2.78-2.79
Pt: 0.7082 0.7923 0.0000  12 Pt 2.78-2.86
Pt: 0.8749 0.6265 0.7436  1 Mn 2.76, 10 Pt 2.77-2.87, 1 Rh 2.77
Pt: 0.7077 0.2923 0.0000  12 Pt 2.78-2.87
Mn: 0.0418 0.9582 0.5000  10 Pt 2.76-2.79, 2 Rh 2.79
Rh: 0.5408 0.4592 0.5000  10 Pt 2.77-2.80, 2 Mn 2.79

Summary:
* volume: 15.52 Å³ per atom
* energy relative to the elements: -0.063 eV per atom



Compound: MnPt6Rh3
Source: the Alexandria database
Functional: GGA-PBE
Structure: relaxed

a = 4.6180 Å, b = 7.2203 Å, c = 9.9786 Å
α = 90.00°, β = 102.83°, γ = 90.00°
Closest atoms and distances in Å follow each position.
Fractional positions:
Pt: 0.6271 0.5626 0.7561  1 Mn 2.53, 3 Pt 2.63-2.77, 4 Rh 2.66-2.76
Pt: 0.4766 0.1593 0.4299  1 Mn 2.55, 4 Rh 2.63-2.71, 3 Pt 2.63-2.70
Pt: 0.0298 0.3592 0.5983  2 Mn 2.63-2.77, 4 Rh 2.70-2.77, 2 Pt 2.77-2.80
Pt: 0.0234 0.6593 0.0701  1 Mn 2.55, 4 Rh 2.63-2.71, 3 Pt 2.63-2.70
Pt: 0.9702 0.6408 0.4017  2 Mn 2.63-2.77, 4 Rh 2.70-2.77, 2 Pt 2.77-2.80
Pt: 0.8729 0.0626 0.7439  1 Mn 2.53, 3 Pt 2.63-2.77, 4 Rh 2.66-2.76
Pt: 0.4702 0.8592 0.9017  2 Mn 2.63-2.77, 4 Rh 2.70-2.77, 2 Pt 2.77-2.80
Pt: 0.5298 0.1408 0.0983  2 Mn 2.63-2.77, 4 Rh 2.70-2.77, 2 Pt 2.77-2.80
Pt: 0.9766 0.3407 0.9299  1 Mn 2.55, 4 Rh 2.63-2.71, 3 Pt 2.63-2.70
Pt: 0.3729 0.4374 0.2439  1 Mn 2.53, 3 Pt 2.63-2.77, 4 Rh 2.66-2.76
Pt: 0.5234 0.8407 0.5701  1 Mn 2.55, 4 Rh 2.63-2.71, 3 Pt 2.63-2.70
Pt: 0.1271 0.9374 0.2561  1 Mn 2.53, 3 Pt 2.63-2.77, 4 Rh 2.66-2.76
Rh: 0.9165 0.2759 0.3202  8 Pt 2.65-2.77, 1 Rh 2.65
Rh: 0.0835 0.7241 0.6798  8 Pt 2.65-2.77, 1 Rh 2.65
Rh: 0.0000 0.0000 0.5000  8 Pt 2.63-2.77, 2 Rh 2.65
Rh: 0.5835 0.7759 0.1798  8 Pt 2.65-2.77, 1 Rh 2.65
Rh: 0.5000 0.5000 0.0000  8 Pt 2.63-2.77, 2 Rh 2.65
Rh: 0.4165 0.2241 0.8202  8 Pt 2.65-2.77, 1 Rh 2.65
Mn: 0.0000 0.0000 0.0000  8 Pt 2.53-2.77
Mn: 0.5000 0.5000 0.5000  8 Pt 2.53-2.77

Summary:
* volume: 16.22 Å³ per atom
* energy relative to the elements: 0.130 eV per atom



Compound: Mn3Pt12Rh
Source: the Alexandria database
Functional: GGA-PBE
Structure: relaxed

a = 3.9289 Å, b = 3.9289 Å, c = 15.7710 Å
α = 90.00°, β = 90.00°, γ = 90.00°
Closest atoms and distances in Å follow each position.
Fractional positions:
Pt: 0.5000 0.0000 0.1267  2 Mn 2.77, 8 Pt 2.78-2.80, 2 Rh 2.80
Pt: 0.5000 0.5000 0.5000  4 Mn 2.78, 8 Pt 2.78
Pt: 0.5000 0.0000 0.6248  8 Pt 2.77-2.78, 4 Mn 2.78
Pt: 0.5000 0.0000 0.8733  2 Mn 2.77, 8 Pt 2.78-2.80, 2 Rh 2.80
Pt: 0.0000 0.5000 0.1267  2 Mn 2.77, 8 Pt 2.78-2.80, 2 Rh 2.80
Pt: 0.0000 0.5000 0.3752  8 Pt 2.77-2.78, 4 Mn 2.78
Pt: 0.0000 0.5000 0.8733  2 Mn 2.77, 8 Pt 2.78-2.80, 2 Rh 2.80
Pt: 0.0000 0.5000 0.6248  8 Pt 2.77-2.78, 4 Mn 2.78
Pt: 0.5000 0.5000 0.0000  4 Rh 2.78, 8 Pt 2.80
Pt: 0.5000 0.5000 0.2514  8 Pt 2.77-2.78, 4 Mn 2.78
Pt: 0.5000 0.0000 0.3752  8 Pt 2.77-2.78, 4 Mn 2.78
Pt: 0.5000 0.5000 0.7486  8 Pt 2.77-2.78, 4 Mn 2.78
Rh: 0.0000 0.0000 0.0000  12 Pt 2.78-2.80
Mn: 0.0000 0.0000 0.2505  12 Pt 2.77-2.78
Mn: 0.0000 0.0000 0.5000  12 Pt 2.78
Mn: 0.0000 0.0000 0.7495  12 Pt 2.77-2.78

Summary:
* volume: 15.22 Å³ per atom
* energy relative to the elements: -0.271 eV per atom



Compound: Mn2PtRh
Source: the Alexandria database
Functional: GGA-PBE
Structure: relaxed

a = 2.8313 Å, b = 3.9519 Å, c = 5.3195 Å
α = 90.00°, β = 90.00°, γ = 90.00°
Closest atoms and distances in Å follow each position.
Fractional positions:
Pt: 0.0000 0.0000 0.4721  6 Mn 2.65-2.67, 2 Pt 2.83, 4 Rh 2.94
Mn: 0.0000 0.0000 0.9733  4 Rh 2.63, 2 Pt 2.65-2.67, 6 Mn 2.83-2.90
Mn: 0.5000 0.5000 0.2706  2 Rh 2.59-2.73, 4 Pt 2.66, 2 Mn 2.83
Rh: 0.5000 0.5000 0.7840  6 Mn 2.59-2.73, 2 Rh 2.83

Summary:
* volume: 14.88 Å³ per atom
* energy relative to the elements: -0.098 eV per atom